[1]
# CeAl3Au6 (GGA-PBE, relaxed)
# Crystal system   triclinic
# Mass density   11.722 g cm⁻³
# Total DFT energy (no corrections)   -4.1242 eV per atom
data_CeAl3Au6
_space_group_name_H-M_alt 'P 1'
_space_group_IT_number 1
_space_group_name_Hall 'P 1'
_cell_length_a 5.235
_cell_length_b 6.387
_cell_length_c 6.808
_cell_angle_alpha 67.16
_cell_angle_beta 77.76
_cell_angle_gamma 72.32
loop_
_atom_site_label
_atom_site_type_symbol
_atom_site_fract_x
_atom_site_fract_y
_atom_site_fract_z
_atom_site_occupancy
Ce1 Ce 0.000 0.000 0.000 1
Al1 Al 0.243 0.403 0.109 1
Al2 Al 0.450 0.514 0.410 1
Al3 Al 0.585 0.827 0.679 1
Au1 Au 0.137 0.690 0.722 1
Au2 Au 0.455 0.961 0.286 1
Au3 Au 0.472 0.209 0.795 1
Au4 Au 0.711 0.518 0.040 1
Au5 Au 0.867 0.131 0.434 1
Au6 Au 0.942 0.577 0.412 1

[2]
# Ce3Al4Au8 (GGA-PBE, relaxed)
# Crystal system   cubic
# Mass density   11.655 g cm⁻³
# Total DFT energy (no corrections)   -4.5086 eV per atom
data_Ce3Al4Au8
_space_group_name_H-M_alt 'F m -3 m'
_space_group_IT_number 225
_space_group_name_Hall '-F 4 2 3'
_cell_length_a 13.385
_cell_length_b 13.385
_cell_length_c 13.385
_cell_angle_alpha 90.00
_cell_angle_beta 90.00
_cell_angle_gamma 90.00
loop_
_atom_site_label
_atom_site_type_symbol
_atom_site_fract_x
_atom_site_fract_y
_atom_site_fract_z
_atom_site_occupancy
Ce1 Ce 0.000 0.000 0.220 1
Al1 Al 0.000 0.000 0.000 1
Al2 Al 0.000 0.000 0.500 1
Al3 Al 0.000 0.250 0.250 1
Au1 Au 0.118 0.118 0.382 1
Au2 Au 0.162 0.162 0.162 1

[3]
# Ce3Al8Au3 (GGA-PBE, relaxed)
# Offset from the most stable computed form   3.40 kJ/mol of atoms
# Crystal system   orthorhombic
# Mass density   7.214 g cm⁻³
data_Ce3Al8Au3
_space_group_name_H-M_alt 'I m m m'
_space_group_IT_number 71
_space_group_name_Hall '-I 2 2'
_cell_length_a 4.479
_cell_length_b 9.826
_cell_length_c 12.835
_cell_angle_alpha 90.00
_cell_angle_beta 90.00
_cell_angle_gamma 90.00
loop_
_atom_site_label
_atom_site_type_symbol
_atom_site_fract_x
_atom_site_fract_y
_atom_site_fract_z
_atom_site_occupancy
Ce1 Ce 0.000 0.000 0.000 1
Ce2 Ce 0.000 0.000 0.302 1
Al1 Al 0.000 0.283 0.130 1
Al2 Al 0.000 0.367 0.336 1
Au1 Au 0.000 0.216 0.500 1
Au2 Au 0.000 0.500 0.000 1

[4]
# CeAl2Au4 (GGA-PBE, relaxed)
# Crystal system   orthorhombic
# Mass density   11.861 g cm⁻³
# Total DFT energy (no corrections)   -4.3419 eV per atom
data_CeAl2Au4
_space_group_name_H-M_alt 'P n m a'
_space_group_IT_number 62
_space_group_name_Hall '-P 2ac 2n'
_cell_length_a 17.790
_cell_length_b 4.562
_cell_length_c 6.775
_cell_angle_alpha 90.00
_cell_angle_beta 90.00
_cell_angle_gamma 90.00
loop_
_atom_site_label
_atom_site_type_symbol
_atom_site_fract_x
_atom_site_fract_y
_atom_site_fract_z
_atom_site_occupancy
Ce1 Ce 0.136 0.250 0.009 1
Al1 Al 0.037 0.750 0.240 1
Al2 Al 0.218 0.250 0.530 1
Au1 Au 0.036 0.750 0.817 1
Au2 Au 0.074 0.250 0.501 1
Au3 Au 0.180 0.750 0.311 1
Au4 Au 0.197 0.750 0.731 1

[5]
# Ce2Al3Au5 (GGA-PBE, relaxed)
# Crystal system   orthorhombic
# Mass density   10.657 g cm⁻³
# Total DFT energy (no corrections)   -4.5732 eV per atom
data_Ce2Al3Au5
_space_group_name_H-M_alt 'I b a m'
_space_group_IT_number 72
_space_group_name_Hall '-I 2 2c'
_cell_length_a 10.868
_cell_length_b 12.319
_cell_length_c 6.266
_cell_angle_alpha 90.00
_cell_angle_beta 90.00
_cell_angle_gamma 90.00
loop_
_atom_site_label
_atom_site_type_symbol
_atom_site_fract_x
_atom_site_fract_y
_atom_site_fract_z
_atom_site_occupancy
Ce1 Ce 0.232 0.133 0.000 1
Al1 Al 0.000 0.500 0.250 1
Al2 Al 0.114 0.133 0.500 1
Au1 Au 0.000 0.000 0.250 1
Au2 Au 0.000 0.265 0.250 1
Au3 Au 0.159 0.400 0.000 1

[6]
# Ce2AlAu3 (GGA-PBE, relaxed)
# Offset from the most stable computed form   9.60 kJ/mol of atoms
# Crystal system   orthorhombic
# Mass density   10.299 g cm⁻³
data_Ce2AlAu3
_space_group_name_H-M_alt 'I m m 2'
_space_group_IT_number 44
_space_group_name_Hall 'I 2 -2'
_cell_length_a 3.976
_cell_length_b 4.270
_cell_length_c 17.059
_cell_angle_alpha 90.00
_cell_angle_beta 90.00
_cell_angle_gamma 90.00
loop_
_atom_site_label
_atom_site_type_symbol
_atom_site_fract_x
_atom_site_fract_y
_atom_site_fract_z
_atom_site_occupancy
Ce1 Ce 0.000 0.000 0.000 1
Ce2 Ce 0.000 0.500 0.251 1
Al1 Al 0.000 0.000 0.588 1
Au1 Au 0.000 0.000 0.437 1
Au2 Au 0.000 0.500 0.663 1
Au3 Au 0.000 0.500 0.825 1

[7]
# CeAlAu3 (GGA-PBE, relaxed)
# Offset from the most stable computed form   0.00 kJ/mol of atoms
# Crystal system   monoclinic
# Mass density   12.030 g cm⁻³
data_CeAlAu3
_space_group_name_H-M_alt 'C 1 2/m 1'
_space_group_IT_number 12
_space_group_name_Hall '-C 2y'
_cell_length_a 12.450
_cell_length_b 6.124
_cell_length_c 5.489
_cell_angle_alpha 90.00
_cell_angle_beta 90.39
_cell_angle_gamma 90.00
loop_
_atom_site_label
_atom_site_type_symbol
_atom_site_fract_x
_atom_site_fract_y
_atom_site_fract_z
_atom_site_occupancy
Ce1 Ce 0.126 0.000 0.251 1
Al1 Al 0.000 0.500 0.000 1
Al2 Al 0.000 0.500 0.500 1
Au1 Au 0.128 0.243 0.752 1
Au2 Au 0.181 0.500 0.254 1

[8]
# Ce4Al12Au (GGA-PBE, relaxed)
# Crystal system   cubic
# Mass density   5.275 g cm⁻³
# Total DFT energy (no corrections)   -4.6835 eV per atom
data_Ce4Al12Au
_space_group_name_H-M_alt 'I m -3 m'
_space_group_IT_number 229
_space_group_name_Hall '-I 4 2 3'
_cell_length_a 8.797
_cell_length_b 8.797
_cell_length_c 8.797
_cell_angle_alpha 90.00
_cell_angle_beta 90.00
_cell_angle_gamma 90.00
loop_
_atom_site_label
_atom_site_type_symbol
_atom_site_fract_x
_atom_site_fract_y
_atom_site_fract_z
_atom_site_occupancy
Ce1 Ce 0.250 0.250 0.250 1
Al1 Al 0.000 0.000 0.303 1
Al2 Al 0.000 0.250 0.500 1
Au1 Au 0.000 0.000 0.000 1

[9]
# CeAl2Au (GGA-PBE, relaxed)
# Crystal system   orthorhombic
# Mass density   7.790 g cm⁻³
# Total DFT energy (no corrections)   -4.6823 eV per atom
data_CeAl2Au
_space_group_name_H-M_alt 'A m m 2'
_space_group_IT_number 38
_space_group_name_Hall 'A 2 -2'
_cell_length_a 6.837
_cell_length_b 4.564
_cell_length_c 10.686
_cell_angle_alpha 90.00
_cell_angle_beta 90.00
_cell_angle_gamma 90.00
loop_
_atom_site_label
_atom_site_type_symbol
_atom_site_fract_x
_atom_site_fract_y
_atom_site_fract_z
_atom_site_occupancy
Ce1 Ce 0.000 0.000 0.000 1
Ce2 Ce 0.500 0.000 0.185 1
Al1 Al 0.000 0.000 0.300 1
Al2 Al 0.305 0.000 0.480 1
Al3 Al 0.500 0.000 0.895 1
Au1 Au 0.204 0.000 0.720 1

[10]
# Ce2Al3Au2 (GGA-PBE, relaxed)
# Offset from the most stable computed form   0.00 kJ/mol of atoms
# Crystal system   monoclinic
# Mass density   8.468 g cm⁻³
data_Ce2Al3Au2
_space_group_name_H-M_alt 'C 1 2/m 1'
_space_group_IT_number 12
_space_group_name_Hall '-C 2y'
_cell_length_a 10.708
_cell_length_b 4.427
_cell_length_c 6.855
_cell_angle_alpha 90.00
_cell_angle_beta 114.29
_cell_angle_gamma 90.00
loop_
_atom_site_label
_atom_site_type_symbol
_atom_site_fract_x
_atom_site_fract_y
_atom_site_fract_z
_atom_site_occupancy
Ce1 Ce 0.153 0.000 0.289 1
Al1 Al 0.000 0.500 0.500 1
Al2 Al 0.101 0.500 0.931 1
Au1 Au 0.148 0.000 0.751 1

[11]
# Ce3Al7Au2 (GGA-PBE, relaxed)
# Crystal system   trigonal
# Mass density   6.886 g cm⁻³
# Total DFT energy (no corrections)   -4.7574 eV per atom
data_Ce3Al7Au2
_space_group_name_H-M_alt 'R -3 m'
_space_group_IT_number 166
_space_group_name_Hall '-R 3 2"'
_cell_length_a 5.6230
_cell_length_b 5.6230
_cell_length_c 26.5053
_cell_angle_alpha 90.00
_cell_angle_beta 90.00
_cell_angle_gamma 120.00
loop_
_atom_site_label
_atom_site_type_symbol
_atom_site_fract_x
_atom_site_fract_y
_atom_site_fract_z
_atom_site_occupancy
Ce1 Ce 0.0000 0.0000 0.0000 1
Ce2 Ce 0.0000 0.0000 0.1432 1
Al1 Al 0.0000 0.0000 0.5000 1
Al2 Al 0.0086 0.5043 0.9179 1
Au1 Au 0.0000 0.0000 0.3363 1

[12]
# CeAlAu (GGA-PBE, relaxed)
# Crystal system   orthorhombic
# Mass density   9.032 g cm⁻³
# Total DFT energy (no corrections)   -4.9857 eV per atom
data_CeAlAu
_space_group_name_H-M_alt 'I m m 2'
_space_group_IT_number 44
_space_group_name_Hall 'I 2 -2'
_cell_length_a 4.578
_cell_length_b 7.439
_cell_length_c 7.862
_cell_angle_alpha 90.00
_cell_angle_beta 90.00
_cell_angle_gamma 90.00
loop_
_atom_site_label
_atom_site_type_symbol
_atom_site_fract_x
_atom_site_fract_y
_atom_site_fract_z
_atom_site_occupancy
Ce1 Ce 0.000 0.000 0.000 1
Ce2 Ce 0.000 0.500 0.067 1
Al1 Al 0.000 0.306 0.699 1
Au1 Au 0.000 0.222 0.368 1

[13]
# Ce2Al3Au2 (GGA-PBE, relaxed)
# Offset from the most stable computed form   6.10 kJ/mol of atoms
# Crystal system   orthorhombic
# Mass density   8.174 g cm⁻³
data_Ce2Al3Au2
_space_group_name_H-M_alt 'C m c m'
_space_group_IT_number 63
_space_group_name_Hall '-C 2c 2'
_cell_length_a 4.420
_cell_length_b 19.080
_cell_length_c 7.277
_cell_angle_alpha 90.00
_cell_angle_beta 90.00
_cell_angle_gamma 90.00
loop_
_atom_site_label
_atom_site_type_symbol
_atom_site_fract_x
_atom_site_fract_y
_atom_site_fract_z
_atom_site_occupancy
Ce1 Ce 0.000 0.052 0.250 1
Ce2 Ce 0.000 0.157 0.750 1
Al1 Al 0.000 0.224 0.250 1
Al2 Al 0.000 0.440 0.074 1
Au1 Au 0.000 0.313 0.550 1

[14]
# CeAl3Au3 (GGA-PBE, relaxed)
# Offset from the most stable computed form   0.00 kJ/mol of atoms
# Crystal system   monoclinic
# Mass density   9.389 g cm⁻³
data_CeAl3Au3
_space_group_name_H-M_alt 'P 1 21/m 1'
_space_group_IT_number 11
_space_group_name_Hall '-P 2yb'
_cell_length_a 7.420
_cell_length_b 4.553
_cell_length_c 9.018
_cell_angle_alpha 90.00
_cell_angle_beta 109.51
_cell_angle_gamma 90.00
loop_
_atom_site_label
_atom_site_type_symbol
_atom_site_fract_x
_atom_site_fract_y
_atom_site_fract_z
_atom_site_occupancy
Ce1 Ce 0.201 0.250 0.275 1
Al1 Al 0.123 0.250 0.905 1
Al2 Al 0.232 0.750 0.746 1
Al3 Al 0.463 0.250 0.709 1
Au1 Au 0.042 0.250 0.606 1
Au2 Au 0.230 0.750 0.040 1
Au3 Au 0.387 0.750 0.538 1

[15]
# Ce2AlCuAu6 (GGA-PBE, relaxed)
# Crystal system   triclinic
# Mass density   11.644 g cm⁻³
# Total DFT energy (no corrections)   -4.3266 eV per atom
data_Ce2AlCuAu6
_space_group_name_H-M_alt 'P -1'
_space_group_IT_number 2
_space_group_name_Hall '-P 1'
_cell_length_a 5.520
_cell_length_b 6.765
_cell_length_c 7.058
_cell_angle_alpha 83.30
_cell_angle_beta 67.03
_cell_angle_gamma 65.99
loop_
_atom_site_label
_atom_site_type_symbol
_atom_site_fract_x
_atom_site_fract_y
_atom_site_fract_z
_atom_site_occupancy
Ce1 Ce 0.027 0.235 0.210 1
Al1 Al 0.500 0.000 0.500 1
Cu1 Cu 0.500 0.500 0.000 1
Au1 Au 0.004 0.222 0.768 1
Au2 Au 0.353 0.401 0.393 1
Au3 Au 0.494 0.778 0.232 1

[16]
# Ce2Al3CuAu4 (GGA-PBE, relaxed)
# Crystal system   tetragonal
# Mass density   9.882 g cm⁻³
# Total DFT energy (no corrections)   -4.6069 eV per atom
data_Ce2Al3CuAu4
_space_group_name_H-M_alt 'P -4 m 2'
_space_group_IT_number 115
_space_group_name_Hall 'P -4 -2'
_cell_length_a 4.440
_cell_length_b 4.440
_cell_length_c 10.338
_cell_angle_alpha 90.00
_cell_angle_beta 90.00
_cell_angle_gamma 90.00
loop_
_atom_site_label
_atom_site_type_symbol
_atom_site_fract_x
_atom_site_fract_y
_atom_site_fract_z
_atom_site_occupancy
Ce1 Ce 0.000 0.500 0.243 1
Al1 Al 0.000 0.000 0.000 1
Al2 Al 0.000 0.500 0.630 1
Cu1 Cu 0.500 0.500 0.000 1
Au1 Au 0.000 0.000 0.500 1
Au2 Au 0.000 0.500 0.870 1
Au3 Au 0.500 0.500 0.500 1

[17]
# CeAlCu2Au4 (GGA-PBE, relaxed)
# Crystal system   trigonal
# Mass density   12.126 g cm⁻³
# Total DFT energy (no corrections)   -4.2012 eV per atom
data_CeAlCu2Au4
_space_group_name_H-M_alt 'R -3 m'
_space_group_IT_number 166
_space_group_name_Hall '-R 3 2"'
_cell_length_a 4.4408
_cell_length_b 4.4408
_cell_length_c 26.0277
_cell_angle_alpha 90.00
_cell_angle_beta 90.00
_cell_angle_gamma 120.00
loop_
_atom_site_label
_atom_site_type_symbol
_atom_site_fract_x
_atom_site_fract_y
_atom_site_fract_z
_atom_site_occupancy
Ce1 Ce 0.0000 0.0000 0.0000 1
Al1 Al 0.0000 0.0000 0.5000 1
Cu1 Cu 0.0000 0.0000 0.2402 1
Au1 Au 0.0000 0.0000 0.1316 1
Au2 Au 0.0000 0.0000 0.3979 1

[18]
# CeAl2CuAu (GGA-PBE, relaxed)
# Crystal system   orthorhombic
# Mass density   7.870 g cm⁻³
# Total DFT energy (no corrections)   -4.5981 eV per atom
data_CeAl2CuAu
_space_group_name_H-M_alt 'I m m 2'
_space_group_IT_number 44
_space_group_name_Hall 'I 2 -2'
_cell_length_a 3.961
_cell_length_b 4.296
_cell_length_c 11.273
_cell_angle_alpha 90.00
_cell_angle_beta 90.00
_cell_angle_gamma 90.00
loop_
_atom_site_label
_atom_site_type_symbol
_atom_site_fract_x
_atom_site_fract_y
_atom_site_fract_z
_atom_site_occupancy
Ce1 Ce 0.000 0.000 0.000 1
Al1 Al 0.000 0.000 0.388 1
Al2 Al 0.000 0.500 0.241 1
Cu1 Cu 0.000 0.000 0.601 1
Au1 Au 0.000 0.500 0.743 1

[19]
# CeEuAlAu (GGA-PBE, relaxed)
# Crystal system   cubic
# Mass density   8.181 g cm⁻³
# Total DFT energy (no corrections)   -6.2043 eV per atom
data_CeEuAlAu
_space_group_name_H-M_alt 'F -4 3 m'
_space_group_IT_number 216
_space_group_name_Hall 'F -4 2 3'
_cell_length_a 7.483
_cell_length_b 7.483
_cell_length_c 7.483
_cell_angle_alpha 90.00
_cell_angle_beta 90.00
_cell_angle_gamma 90.00
loop_
_atom_site_label
_atom_site_type_symbol
_atom_site_fract_x
_atom_site_fract_y
_atom_site_fract_z
_atom_site_occupancy
Ce1 Ce 0.000 0.000 0.000 1
Eu1 Eu 0.000 0.000 0.500 1
Al1 Al 0.250 0.250 0.250 1
Au1 Au 0.250 0.250 0.750 1

[20]
# CeAl3GaAu (GGA-PBE, relaxed)
# Crystal system   orthorhombic
# Mass density   5.745 g cm⁻³
# Total DFT energy (no corrections)   -4.0958 eV per atom
data_CeAl3GaAu
_space_group_name_H-M_alt 'C m c m'
_space_group_IT_number 63
_space_group_name_Hall '-C 2c 2'
_cell_length_a 5.943
_cell_length_b 16.386
_cell_length_c 5.790
_cell_angle_alpha 90.00
_cell_angle_beta 90.00
_cell_angle_gamma 90.00
loop_
_atom_site_label
_atom_site_type_symbol
_atom_site_fract_x
_atom_site_fract_y
_atom_site_fract_z
_atom_site_occupancy
Ce1 Ce 0.000 0.169 0.250 1
Al1 Al 0.000 0.256 0.750 1
Al2 Al 0.241 0.000 0.000 1
Ga1 Ga 0.000 0.102 0.750 1
Au1 Au 0.000 0.409 0.750 1